The following is a DFT calculation (GGA-PBE) of a relaxed LiP2IrRu crystal.

Output
The crystal system is tetragonal. The calculated total energy is -6.8280 eV per atom.

Cell and atoms, written as CIF:
```
data_LiP2IrRu
_cell_length_a 4.026
_cell_length_b 4.026
_cell_length_c 9.269
_cell_angle_alpha 90.00
_cell_angle_beta 90.00
_cell_angle_gamma 90.00
_space_group_name_H-M_alt 'I -4 m 2'
_space_group_IT_number 119
_space_group_name_Hall 'I -4 -2'
loop_
_atom_site_label
_atom_site_fract_x
_atom_site_fract_y
_atom_site_fract_z
Li1 0.000 0.000 0.000
P1 0.000 0.000 0.378
Ir1 0.000 0.500 0.250
Ru1 0.000 0.500 0.750
```